A relaxed structure of Ba2MnRu, computed with PBE-GGA.

Results
The value obtained for the polymorph energy (0 for the lowest one) is 1.13 eV per formula unit. For the density, the calculation gives 4339 kg/m3. The calculation puts the calculated total energy at -5.02 eV per atom. The formation enthalpy at 0 K comes out at 0.551 eV per atom. As for the total moment: 15.60 Bohr magnetons per cell. For the density of states at the Fermi level, the calculation gives 4.3 states/eV/f.u.

The structure in CIF format:
```
data_Ba2MnRu
_chemical_formula_sum 'Ba8 Mn4 Ru4'
_cell_length_a 11.902
_cell_length_b 11.902
_cell_length_c 4.653
_cell_angle_alpha 90.00
_cell_angle_beta 90.00
_cell_angle_gamma 90.00
_symmetry_space_group_name_H-M 'I -4 2 d'
_symmetry_Int_Tables_number 122
_symmetry_space_group_name_Hall 'I -4 2bw'
loop_
_atom_site_label
_atom_site_type_symbol
_atom_site_fract_x
_atom_site_fract_y
_atom_site_fract_z
Ba1 Ba 0.066 0.250 0.125
Mn1 Mn 0.000 0.000 0.500
Ru1 Ru 0.000 0.000 0.000
```


A relaxed structure of BaMn2Ru, computed with PBE-GGA.

Results
The value obtained for the polymorph energy (0 for the lowest one) is 2.61 eV per formula unit. For the density, the calculation gives 7225 kg/m3. The calculation puts the calculated total energy at -6.38 eV per atom. The formation enthalpy at 0 K comes out at 1.002 eV per atom. As for the total moment: 8.38 Bohr magnetons per cell. For the density of states at the Fermi level, the calculation gives 4.1 states/eV/f.u.

The structure in CIF format:
```
data_BaMn2Ru
_chemical_formula_sum 'Ba1 Mn2 Ru1'
_cell_length_a 4.655
_cell_length_b 4.655
_cell_length_c 3.694
_cell_angle_alpha 90.00
_cell_angle_beta 90.00
_cell_angle_gamma 90.00
_symmetry_space_group_name_H-M 'P 4/m m m'
_symmetry_Int_Tables_number 123
_symmetry_space_group_name_Hall '-P 4 2'
loop_
_atom_site_label
_atom_site_type_symbol
_atom_site_fract_x
_atom_site_fract_y
_atom_site_fract_z
Ba1 Ba 0.000 0.000 0.000
Mn1 Mn 0.000 0.500 0.500
Ru1 Ru 0.500 0.500 0.000
```


Q: Look up the polymorph energy (0 for the lowest one) of the second one.
A: 2.61 eV per formula unit